No. 1
Be2InOs after structural relaxation, computed with GGA-PBE.

The structure in extended XYZ format:
```
4
Lattice="2.848 -2.854 0.000 2.848 2.854 0.000 0.000 0.000 3.137" Properties=species:S:1:pos:R:3 pbc="T T T"
Be 1.424 1.427 0.000
Be 1.424 -1.427 0.000
In 0.000 0.000 1.569
Os 2.848 0.000 1.569
```

Summary:
Formation enthalpy at 0 K   0.23 eV/atom
Symmetry   Cmmm

---

No. 2
ScRe2Au after structural relaxation, computed with GGA-PBE.

The structure in extended XYZ format:
```
4
Lattice="1.431 0.826 9.501 -1.431 0.826 9.501 0.000 -1.652 9.501" Properties=species:S:1:pos:R:3 pbc="T T T"
Sc 0.000 0.000 0.000
Re 0.000 0.000 7.113
Re 0.000 0.000 21.390
Au 0.000 0.000 14.252
```

Summary:
Formation enthalpy at 0 K   0.41 eV/atom
Symmetry   R-3m

---

No. 3
CoRu2Se after structural relaxation, computed with GGA-PBE.

The structure in extended XYZ format:
```
4
Lattice="2.895 0.000 0.000 0.000 4.346 0.000 0.000 0.000 4.526" Properties=species:S:1:pos:R:3 pbc="T T T"
Co 0.000 0.000 0.000
Ru 0.000 2.173 2.263
Ru 1.448 2.173 0.000
Se 1.448 0.000 2.263
```

Summary:
ΔE_f (raw)   0.485 eV/atom
Symmetry   Pmmm

---

No. 4
SrInTc after structural relaxation, computed with GGA-PBE.

The structure in extended XYZ format:
```
3
Lattice="4.749 0.000 0.000 -2.374 4.113 0.000 0.000 0.000 4.075" Properties=species:S:1:pos:R:3 pbc="T T T"
Sr 0.000 0.000 0.000
In 0.000 2.742 2.037
Tc 2.374 1.371 2.037
```

Summary:
Formation enthalpy at 0 K   0.48 eV/atom
Symmetry   P-6m2

---

The total DFT energy (no corrections) results, record by record, are as follows: -20.486 -32.857 -27.201 -13.351 eV for the cell shown.